1.
# TmMg7

Crystalline TmMg7 at its relaxed geometry (PBE, the Alexandria database).

a = 9.729 Å, b = 9.729 Å, c = 9.729 Å
α = 152.87°, β = 152.87°, γ = 38.74°
Positions (direct):
Tm 0.000 0.000 0.000
Mg 0.128 0.628 0.500
Mg 0.246 0.246 0.000
Mg 0.372 0.872 0.500
Mg 0.500 0.500 0.000
Mg 0.628 0.128 0.500
Mg 0.754 0.754 0.000
Mg 0.872 0.372 0.500

Computed properties:
DOS(E_F) ... 3.84 states/eV per cell
E above lowest polymorph ... 0 meV per atom

***

2.
# Tm2Mg5

Crystalline Tm2Mg5 at its relaxed geometry (PBE, the Alexandria database).

a = 8.623 Å, b = 8.623 Å, c = 8.623 Å
α = 121.88°, β = 74.56°, γ = 137.57°
Positions (direct):
Tm 0.085 0.154 0.239
Tm 0.415 0.654 0.069
Tm 0.585 0.346 0.931
Tm 0.915 0.846 0.761
Mg 0.029 0.750 0.279
Mg 0.145 0.772 0.918
Mg 0.250 0.750 0.500
Mg 0.355 0.272 0.627
Mg 0.471 0.750 0.721
Mg 0.529 0.250 0.279
Mg 0.645 0.728 0.373
Mg 0.750 0.250 0.500
Mg 0.855 0.228 0.082
Mg 0.971 0.250 0.721

Computed properties:
DOS(E_F) ... 13.04 states/eV per cell
Final energy ... -33.55 eV per cell

***

3.
# TmMg

Crystalline TmMg at its relaxed geometry (PBE, the Alexandria database).

a = 3.752 Å, b = 3.752 Å, c = 3.752 Å
α = 90.00°, β = 90.00°, γ = 90.00°
Positions (direct):
Tm 0.000 0.000 0.000
Mg 0.500 0.500 0.500

Computed properties:
DOS(E_F) ... 2.53 states/eV per cell
Final energy ... -6.19 eV per cell

***

4.
# TmMg7

Crystalline TmMg7 at its relaxed geometry (PBE, the Alexandria database).

a = 6.522 Å, b = 6.522 Å, c = 6.522 Å
α = 60.00°, β = 60.00°, γ = 60.00°
Positions (direct):
Tm 0.000 0.000 0.000
Mg 0.000 0.000 0.500
Mg 0.000 0.500 0.000
Mg 0.000 0.500 0.500
Mg 0.500 0.000 0.000
Mg 0.500 0.000 0.500
Mg 0.500 0.500 0.000
Mg 0.500 0.500 0.500

Computed properties:
DOS(E_F) ... 8.86 states/eV per cell
E above lowest polymorph ... 57 meV per atom

***

Which value of DOS(E_F) does entry 4 give? 8.86 states/eV per cell